No. 1
The following is a GGA-PBE calculation of Li3TaGe after structural relaxation, from Alexandria via LeMat-Bulk.

Relative energy among the computed polymorphs (meV per atom): 618
Size of the total moment (μB per atom): 0.681
E_tot (eV per atom): -2.948

The structure in CIF format:
```
data_Li3TaGe
_space_group_name_H-M_alt 'P m -3 m'
_space_group_IT_number 221
_space_group_name_Hall '-P 4 2 3'
_cell_length_a 4.9757
_cell_length_b 4.9757
_cell_length_c 4.9757
_cell_angle_alpha 90.00
_cell_angle_beta 90.00
_cell_angle_gamma 90.00
loop_
_atom_site_label
_atom_site_type_symbol
_atom_site_fract_x
_atom_site_fract_y
_atom_site_fract_z
Li1 Li 0.0000 0.0000 0.5000
Ta1 Ta 0.0000 0.0000 0.0000
Ge1 Ge 0.5000 0.5000 0.5000
```

No. 2
The following is a GGA-PBE calculation of RbZnSn2 after structural relaxation, from Alexandria via LeMat-Bulk.

Size of the total moment (μB per atom): 0.000
E_tot (eV per atom): -2.600

The structure in CIF format:
```
data_RbZnSn2
_space_group_name_H-M_alt 'P 4/m m m'
_space_group_IT_number 123
_space_group_name_Hall '-P 4 2'
_cell_length_a 3.7394
_cell_length_b 3.7394
_cell_length_c 8.3538
_cell_angle_alpha 90.00
_cell_angle_beta 90.00
_cell_angle_gamma 90.00
loop_
_atom_site_label
_atom_site_type_symbol
_atom_site_fract_x
_atom_site_fract_y
_atom_site_fract_z
Rb1 Rb 0.0000 0.0000 0.0000
Zn1 Zn 0.0000 0.0000 0.5000
Sn1 Sn 0.5000 0.5000 0.3227
```

no.,formation energy from the elements (eV/atom)
1,1.4944
2,-0.0382